Entry 1:
# Ca3LaO

A relaxed structure of Ca3LaO (PBE-GGA, Alexandria).

Results
- Raw formation energy: 1.217 eV per atom
- Space-group type: Pm-3m, No. 221

Cell: 6.3242 6.3242 6.3242 Å, 90.00 90.00 90.00°
Element x y z (fractional)
O1 0.5000 0.5000 0.5000
Ca1 0.0000 0.0000 0.5000
Ca2 0.5000 0.0000 0.0000
Ca3 0.0000 0.5000 0.0000
La1 0.0000 0.0000 0.0000


Entry 2:
# Sr2CdPtI

A relaxed structure of Sr2CdPtI (PBE-GGA, Alexandria).

Results
- Raw formation energy: -0.760 eV per atom
- Space-group type: P4/mmm, No. 123

Cell: 5.9167 5.9167 5.2600 Å, 90.00 90.00 90.00°
Element x y z (fractional)
Sr1 0.0000 0.5000 0.0000
Sr2 0.5000 0.0000 0.0000
Pt1 0.0000 0.0000 0.0000
Cd1 0.0000 0.0000 0.5000
I1 0.5000 0.5000 0.5000


Entry 3:
# GaCoHg2

A relaxed structure of GaCoHg2 (PBE-GGA, Alexandria).

Results
- Energy relative to the elements: 0.33 eV/atom
- Space-group type: I-42d, No. 122

Cell: 8.9872 8.9872 6.7637 Å, 48.37 48.37 90.00°
Element x y z (fractional)
Hg1 0.8750 0.7484 0.7500
Hg2 0.2516 0.6250 0.2500
Hg3 0.3750 0.5016 0.7500
Hg4 0.4984 0.1250 0.2500
Ga1 0.7500 0.2500 0.5000
Ga2 0.0000 0.0000 0.0000
Co1 0.2500 0.7500 0.5000
Co2 0.5000 0.5000 0.0000


Entry 4:
# CaPmSmEr

A relaxed structure of CaPmSmEr (PBE-GGA, Alexandria).

Results
- Energy relative to the elements: 0.13 eV/atom
- Space-group type: F-43m, No. 216

Cell: 5.7987 5.7987 5.7987 Å, 60.00 60.00 60.00°
Element x y z (fractional)
Sm1 0.2500 0.2500 0.2500
Pm1 0.7500 0.7500 0.7500
Ca1 0.5000 0.5000 0.5000
Er1 0.0000 0.0000 0.0000


Entry 5:
# Li3HfIr

A relaxed structure of Li3HfIr (PBE-GGA, Alexandria).

Results
- Energy relative to the elements: 0.69 eV/atom
- Space-group type: Pm-3m, No. 221

Cell: 4.4168 4.4168 4.4168 Å, 90.00 90.00 90.00°
Element x y z (fractional)
Li1 0.0000 0.0000 0.5000
Li2 0.5000 0.0000 0.0000
Li3 0.0000 0.5000 0.0000
Hf1 0.5000 0.5000 0.5000
Ir1 0.0000 0.0000 0.0000


Entry 6:
# Fe3Pb

A relaxed structure of Fe3Pb (PBE-GGA, Alexandria).

Results
- Energy relative to the elements: 0.35 eV/atom
- Space-group type: P4/mmm, No. 123

Cell: 3.2325 3.2325 5.9221 Å, 90.00 90.00 90.00°
Element x y z (fractional)
Pb1 0.5000 0.5000 0.2500
Fe1 0.0000 0.0000 0.5546
Fe2 0.0000 0.0000 0.9454
Fe3 0.5000 0.5000 0.7500


Entry 7:
# Sr2CoBr

A relaxed structure of Sr2CoBr (PBE-GGA, Alexandria).

Results
- Raw formation energy: -0.347 eV per atom
- Space-group type: P4mm, No. 99

Cell: 4.4891 4.4891 6.1824 Å, 90.00 90.00 89.99°
Element x y z (fractional)
Sr1 0.0000 0.0000 0.8753
Sr2 0.5000 0.5000 0.3744
Br1 0.0000 0.0000 0.3753
Co1 0.5000 0.5000 0.8750


Entry 8:
# LiPuOs4

A relaxed structure of LiPuOs4 (PBE-GGA, Alexandria).

Results
- Energy relative to the elements: 0.15 eV/atom
- Space-group type: F-43m, No. 216

Cell: 5.2506 5.2506 5.2506 Å, 60.00 60.00 60.00°
Element x y z (fractional)
Os1 0.6256 0.6256 0.1233
Os2 0.6256 0.1233 0.6256
Os3 0.1233 0.6256 0.6256
Os4 0.6256 0.6256 0.6256
Pu1 0.2500 0.2500 0.2500
Li1 0.0000 0.0000 0.0000


Entry 9:
# Pr3BiI7

A relaxed structure of Pr3BiI7 (PBE-GGA, Alexandria).

Results
- Raw formation energy: -1.169 eV per atom
- Space-group type: P3m1, No. 156

Cell: 7.1813 9.3307 9.3307 Å, 120.00 90.00 90.00°
Element x y z (fractional)
I1 0.0319 0.6471 0.8235
I2 0.0319 0.1765 0.8235
I3 0.0366 0.6667 0.3333
I4 0.5427 0.3421 0.1711
I5 0.5427 0.8289 0.1711
I6 0.5427 0.8289 0.6579
I7 0.0319 0.1765 0.3529
Bi1 0.5261 0.3333 0.6667
Pr1 0.7762 0.0046 0.5023
Pr2 0.7762 0.4977 0.5023
Pr3 0.7762 0.4977 0.9954


Entry 10:
# MnTl2Mo

A relaxed structure of MnTl2Mo (PBE-GGA, Alexandria).

Results
- Energy relative to the elements: 0.74 eV/atom
- Space-group type: I-4m2, No. 119

Cell: 5.5085 5.5085 5.5085 Å, 136.30 136.30 63.52°
Element x y z (fractional)
Tl1 0.0000 0.0000 0.0000
Tl2 0.2500 0.7500 0.5000
Mo1 0.7500 0.2500 0.5000
Mn1 0.5000 0.5000 0.0000


Entry 11:
# Zn2GaNi5Ge2

A relaxed structure of Zn2GaNi5Ge2 (PBE-GGA, Alexandria).

Results
- Energy relative to the elements: -0.14 eV/atom
- Space-group type: P4/mbm, No. 127

Cell: 2.9574 9.4773 9.4773 Å, 90.00 90.00 90.00°
Element x y z (fractional)
Ge1 0.0000 0.1469 0.6469
Ge2 0.0000 0.8531 0.3531
Ge3 0.0000 0.6469 0.8531
Ge4 0.0000 0.3531 0.1469
Ni1 0.5000 0.7939 0.9874
Ni2 0.5000 0.4874 0.2939
Ni3 0.5000 0.2939 0.5126
Ni4 0.5000 0.5126 0.7061
Ni5 0.5000 0.0000 0.5000
Ni6 0.5000 0.9874 0.2061
Ni7 0.5000 0.5000 0.0000
Ni8 0.5000 0.7061 0.4874
Ni9 0.5000 0.0126 0.7939
Ni10 0.5000 0.2061 0.0126
Zn1 0.0000 0.3387 0.8387
Zn2 0.0000 0.8387 0.6613
Zn3 0.0000 0.6613 0.1613
Zn4 0.0000 0.1613 0.3387
Ga1 0.0000 0.5000 0.5000
Ga2 0.0000 0.0000 0.0000


Entry 12:
# RbYB2

A relaxed structure of RbYB2 (PBE-GGA, Alexandria).

Results
- Energy relative to the elements: 1.41 eV/atom
- Space-group type: Fm-3m, No. 225

Cell: 4.8505 4.8505 4.8505 Å, 60.00 60.00 60.00°
Element x y z (fractional)
Rb1 0.0000 0.0000 0.0000
Y1 0.5000 0.5000 0.5000
B1 0.2500 0.2500 0.2500
B2 0.7500 0.7500 0.7500


Entry 13:
# KCaGe2O6

A relaxed structure of KCaGe2O6 (PBE-GGA, Alexandria).

Results
- Raw formation energy: -1.848 eV per atom
- Space-group type: C2/c, No. 15

Cell: 5.1924 7.6555 7.6555 Å, 94.96 92.63 92.63°
Element x y z (fractional)
O1 0.7238 0.0183 0.2565
O2 0.1226 0.6020 0.7132
O3 0.3774 0.2868 0.3980
O4 0.6226 0.7132 0.6020
O5 0.8774 0.3980 0.2868
O6 0.2762 0.9817 0.7435
O7 0.7762 0.7435 0.9817
O8 0.8300 0.2071 0.5983
O9 0.2238 0.2565 0.0183
O10 0.3300 0.5983 0.2071
O11 0.1700 0.7929 0.4017
O12 0.6700 0.4017 0.7929
Ca1 0.7500 0.7155 0.2845
Ca2 0.2500 0.2845 0.7155
K1 0.2500 0.9122 0.0878
K2 0.7500 0.0878 0.9122
Ge1 0.7067 0.2153 0.3808
Ge2 0.2933 0.7847 0.6192
Ge3 0.7933 0.6192 0.7847
Ge4 0.2067 0.3808 0.2153


Entry 14:
# NaTiAl

A relaxed structure of NaTiAl (PBE-GGA, Alexandria).

Results
- Energy relative to the elements: 0.01 eV/atom
- Space-group type: P2_1/m, No. 11

Cell: 10.6277 4.5212 2.8050 Å, 90.00 97.32 90.00°
Element x y z (fractional)
Na1 0.1340 0.2500 0.3226
Na2 0.8660 0.7500 0.6774
Al1 0.3353 0.7500 0.9205
Al2 0.6647 0.2500 0.0795
Ti1 0.5721 0.7500 0.5349
Ti2 0.4280 0.2500 0.4651


Entry 15:
# Hg3PBr

A relaxed structure of Hg3PBr (PBE-GGA, Alexandria).

Results
- Raw formation energy: 0.801 eV per atom
- Space-group type: Pm-3m, No. 221

Cell: 6.2064 6.2064 6.2064 Å, 90.00 90.00 90.00°
Element x y z (fractional)
Hg1 0.5000 0.0000 0.0000
Hg2 0.0000 0.5000 0.0000
Hg3 0.0000 0.0000 0.5000
P1 0.5000 0.5000 0.5000
Br1 0.0000 0.0000 0.0000


Entry 16:
# ErCd2Pd6

A relaxed structure of ErCd2Pd6 (PBE-GGA, Alexandria).

Results
- Energy relative to the elements: -0.39 eV/atom
- Space-group type: C2/m, No. 12

Cell: 4.6918 7.8530 6.3720 Å, 128.04 111.87 90.00°
Element x y z (fractional)
Cd1 0.6585 0.6588 0.3177
Cd2 0.3415 0.3412 0.6823
Er1 0.0000 0.0000 0.0000
Pd1 0.5000 0.8053 0.0000
Pd2 0.8270 0.5203 0.6538
Pd3 0.1730 0.4797 0.3462
Pd4 0.1730 0.8665 0.3462
Pd5 0.8270 0.1335 0.6538
Pd6 0.5000 0.1947 0.0000


Entry 17:
# Pm4Sm2Dy3

A relaxed structure of Pm4Sm2Dy3 (PBE-GGA, Alexandria).

Results
- Energy relative to the elements: 0.08 eV/atom
- Space-group type: C2/m, No. 12

Cell: 3.5502 8.7075 10.0962 Å, 98.83 100.13 90.00°
Element x y z (fractional)
Pm1 0.7202 0.6508 0.4404
Pm2 0.4514 0.3145 0.9028
Pm3 0.2798 0.3492 0.5596
Pm4 0.5486 0.6855 0.0972
Sm1 0.6671 0.0433 0.3342
Sm2 0.3329 0.9567 0.6658
Dy1 0.0000 0.0000 0.0000
Dy2 0.1063 0.3592 0.2125
Dy3 0.8937 0.6408 0.7875


Entry 18:
# SrRe2SnO

A relaxed structure of SrRe2SnO (PBE-GGA, Alexandria).

Results
- Raw formation energy: 1.401 eV per atom
- Space-group type: P4/mmm, No. 123

Cell: 5.2261 4.4033 5.2261 Å, 90.00 90.00 90.00°
Element x y z (fractional)
Sr1 0.5000 0.5000 0.5000
O1 0.0000 0.5000 0.0000
Re1 0.5000 0.0000 0.0000
Re2 0.0000 0.0000 0.5000
Sn1 0.0000 0.0000 0.0000


Entry 19:
# PmSm6Ho2Mg

A relaxed structure of PmSm6Ho2Mg (PBE-GGA, Alexandria).

Results
- Energy relative to the elements: 0.12 eV/atom
- Space-group type: C2/c, No. 15

Cell: 8.9021 9.1502 9.1502 Å, 118.66 90.76 90.76°
Element x y z (fractional)
Mg1 0.7500 0.5594 0.4406
Mg2 0.2500 0.4406 0.5594
Ho1 0.5547 0.2194 0.3208
Ho2 0.0547 0.3208 0.2194
Ho3 0.9453 0.6792 0.7806
Ho4 0.4453 0.7806 0.6792
Sm1 0.6978 0.9613 0.5381
Sm2 0.9099 0.2678 0.5309
Sm3 0.9488 0.8797 0.2055
Sm4 0.8022 0.4619 0.0387
Sm5 0.0901 0.7322 0.4691
Sm6 0.4099 0.5309 0.2678
Sm7 0.4488 0.2055 0.8797
Sm8 0.5901 0.4691 0.7322
Sm9 0.1978 0.5381 0.9613
Sm10 0.5512 0.7945 0.1203
Sm11 0.3022 0.0387 0.4619
Sm12 0.0512 0.1203 0.7945
Pm1 0.7500 0.0347 0.9653
Pm2 0.2500 0.9653 0.0347


no.,calculated total energy (eV per atom)
1,-1.961
2,-3.134
3,-2.359
4,-3.879
5,-4.226
6,-6.921
7,-3.383
8,-10.049
9,-3.812
10,-5.439
11,-4.514
12,-3.782
13,-6.057
14,-4.305
15,-0.797
16,-4.567
17,-4.612
18,-5.707
19,-4.263